VASP calculation (PBE) on a geometry-optimized Rb2NaSb2 structure.

Geometry as POSCAR:
```
Rb2NaSb2
1.0
-0.565 -0.632 -4.311
1.582 -4.081 0.390
-11.097 -6.649 0.190
Sb Rb Na
2 2 1
Direct
0.250 0.750 0.500
0.750 0.250 0.500
0.372 0.372 0.257
0.628 0.628 0.743
0.000 0.000 0.000
```

The value obtained for the uncorrected formation energy is -0.09 eV/atom. For the polymorph energy (0 for the lowest one), the calculation gives 0.258 eV per atom. Its density of states at the Fermi level is 2.850 states/eV/cell.